No. 1
# Be2IrSe

A geometry-optimized Be2IrSe structure (GGA-PBE, Alexandria via LeMat-Bulk).

a = 4.422 Å, b = 4.775 Å, c = 3.015 Å
α = 71.35°, β = 90.51°, γ = 117.77°
Positions (direct):
Se 0.500 0.500 0.000
Be 0.500 0.000 0.500
Be 0.000 0.000 0.000
Ir 0.000 0.500 0.500

Calculated values
DOS at the Fermi energy   1.4 states/eV per cell
V   52.6 Å³ per cell
Energy relative to the lowest polymorph listed for this composition   0.425 eV per atom
Formation energy from raw total energies   219 meV per atom
Size of the total moment   0.00 μB/f.u.

---

No. 2
# BeIrSe2

A geometry-optimized BeIrSe2 structure (GGA-PBE, Alexandria via LeMat-Bulk).

a = 7.266 Å, b = 7.266 Å, c = 7.266 Å
α = 150.41°, β = 154.23°, γ = 39.63°
Positions (direct):
Se 0.374 0.374 0.000
Se 0.126 0.126 0.000
Ir 0.250 0.750 0.500
Be 0.750 0.250 0.500

Calculated values
DOS at the Fermi energy   0.9 states/eV per cell
V   82.2 Å³ per cell
Energy relative to the lowest polymorph listed for this composition   0.000 eV per atom
Formation energy from raw total energies   -278 meV per atom
Size of the total moment   0.00 μB/f.u.

---

No. 3
# Be2IrSe

A geometry-optimized Be2IrSe structure (GGA-PBE, Alexandria via LeMat-Bulk).

a = 4.201 Å, b = 4.201 Å, c = 2.895 Å
α = 90.00°, β = 90.00°, γ = 102.13°
Positions (direct):
Se 0.000 0.500 0.500
Ir 0.500 0.000 0.500
Be 0.500 0.500 0.000
Be 0.000 0.000 0.000

Calculated values
DOS at the Fermi energy   1.2 states/eV per cell
V   50.0 Å³ per cell
Energy relative to the lowest polymorph listed for this composition   0.285 eV per atom
Formation energy from raw total energies   79 meV per atom
Size of the total moment   0.00 μB/f.u.

---

No. 4
# Be3IrSe

A geometry-optimized Be3IrSe structure (GGA-PBE, Alexandria via LeMat-Bulk).

a = 4.279 Å, b = 4.279 Å, c = 4.279 Å
α = 90.00°, β = 90.00°, γ = 90.00°
Positions (direct):
Se 0.500 0.500 0.500
Be 0.000 0.500 0.000
Be 0.500 0.000 0.000
Be 0.000 0.000 0.500
Ir 0.000 0.000 0.000

Calculated values
DOS at the Fermi energy   2.3 states/eV per cell
V   78.4 Å³ per cell
Energy relative to the lowest polymorph listed for this composition   0.000 eV per atom
Formation energy from raw total energies   445 meV per atom
Size of the total moment   0.00 μB/f.u.